[1]
A relaxed CaCd4Pd2 crystal. Source: Alexandria via LeMat-Bulk, functional PBE.

Output
The space group is P4_2/mnm (136). The calculation puts the density of states at the Fermi level at 0.398 states/eV/atom. The calculation puts the total energy at -2.688 eV/atom.

```
CaCd4Pd2
1.0
-3.639 -0.837 -2.756
4.306 -5.633 -3.975
-2.628 -5.674 5.193
Cd Pd Ca
8 4 2
Cartesian
0.745 -7.479 -2.621
-2.707 -4.665 1.083
0.325 -4.647 -2.926
2.179 -8.830 -0.196
1.235 -2.467 -0.882
-0.502 -2.477 1.414
0.442 -8.840 2.100
-2.286 -7.496 1.388
2.711 -5.642 -1.866
-1.033 -5.664 3.084
-0.595 -8.673 -0.489
-1.366 -3.471 -1.049
0.839 -5.653 0.609
-1.819 -0.418 -1.378
```

[2]
A relaxed RbBa2Hg2 crystal. Source: Alexandria via LeMat-Bulk, functional PBE.

Output
The space group is I4/mmm (139). The calculation puts the density of states at the Fermi level at 1.269 states/eV/atom. The calculation puts the total energy at -1.320 eV/atom.

```
RbBa2Hg2
1.0
-5.967 0.293 -1.215
-1.198 -3.032 5.152
-3.952 4.102 5.102
Ba Hg Rb
2 2 1
Cartesian
-6.751 1.513 2.928
-4.366 -0.149 6.112
-7.450 1.485 6.357
-3.667 -0.122 2.683
0.000 0.000 0.000
```

[3]
A relaxed SrIn2As crystal. Source: Alexandria via LeMat-Bulk, functional PBE.

Output
The space group is F-43m (216). The calculation puts the density of states at the Fermi level at 0.793 states/eV/atom. The calculation puts the total energy at -3.218 eV/atom.

```
SrIn2As
1.0
-1.895 -4.776 -1.646
3.421 -3.855 -1.596
0.731 -4.390 3.051
As In Sr
1 2 1
Cartesian
1.129 -6.511 -0.095
0.000 0.000 0.000
0.564 -3.255 -0.048
1.693 -9.766 -0.143
```

[4]
A relaxed Mg4Cd2Hg3 crystal. Source: Alexandria via LeMat-Bulk, functional PBE.

Output
The space group is C2/m (12). The calculation puts the density of states at the Fermi level at 0.241 states/eV/atom. The calculation puts the total energy at -1.139 eV/atom.

```
Mg4Cd2Hg3
1.0
-1.995 4.048 -0.259
-2.144 -3.771 -2.973
-3.957 -1.407 8.481
Mg Hg Cd
4 3 2
Cartesian
-6.666 -0.601 2.522
-2.572 -1.345 -1.203
-1.430 -0.530 2.726
-5.524 0.214 6.451
-3.836 -1.793 1.532
0.000 0.000 0.000
-4.260 0.662 3.717
-5.080 -2.211 4.581
-3.016 1.080 0.667
```

Copy entry 2 word for word.
A relaxed RbBa2Hg2 crystal. Source: Alexandria via LeMat-Bulk, functional PBE.

Output
The space group is I4/mmm (139). The calculation puts the density of states at the Fermi level at 1.269 states/eV/atom. The calculation puts the total energy at -1.320 eV/atom.

```
RbBa2Hg2
1.0
-5.967 0.293 -1.215
-1.198 -3.032 5.152
-3.952 4.102 5.102
Ba Hg Rb
2 2 1
Cartesian
-6.751 1.513 2.928
-4.366 -0.149 6.112
-7.450 1.485 6.357
-3.667 -0.122 2.683
0.000 0.000 0.000
```